Record 1
An optimized crystal structure of TlBrCl5, computed with PBE.

Cell: 7.3584 7.3584 10.9324 Å, 99.61 99.61 69.92°
Element x y z (fractional)
Tl (0.1734, 0.8266, 0.7500)
Tl (0.8266, 0.1734, 0.2500)
Br (0.5000, 0.5000, 0.0000)
Br (0.5000, 0.5000, 0.5000)
Cl (0.0903, 0.2831, 0.3442)
Cl (0.1664, 0.7054, 0.9839)
Cl (0.2831, 0.0903, 0.8442)
Cl (0.2946, 0.8336, 0.5161)
Cl (0.4970, 0.5030, 0.7500)
Cl (0.5030, 0.4970, 0.2500)
Cl (0.7054, 0.1664, 0.4839)
Cl (0.7169, 0.9097, 0.1558)
Cl (0.8336, 0.2946, 0.0161)
Cl (0.9097, 0.7169, 0.6558)

Calculated values
formation energy (no corrections)	-318	meV/atom

---

Record 2
An optimized crystal structure of Tl12Br5Cl3, computed with PBE.

Cell: 16.3409 16.3409 16.3409 Å, 109.47 109.47 109.47°
Element x y z (fractional)
Tl (0.0554, 0.6255, 0.3844)
Tl (0.0554, 0.9299, 0.6710)
Tl (0.0701, 0.2411, 0.1255)
Tl (0.0701, 0.3290, 0.9446)
Tl (0.1156, 0.7411, 0.6710)
Tl (0.1156, 0.8745, 0.4446)
Tl (0.1255, 0.0701, 0.2411)
Tl (0.1255, 0.5554, 0.8844)
Tl (0.1710, 0.2411, 0.6156)
Tl (0.1710, 0.4299, 0.5554)
Tl (0.2411, 0.1255, 0.0701)
Tl (0.2411, 0.6156, 0.1710)
Tl (0.2589, 0.3290, 0.8844)
Tl (0.2589, 0.4299, 0.3745)
Tl (0.3290, 0.8844, 0.2589)
Tl (0.3290, 0.9446, 0.0701)
Tl (0.3745, 0.2589, 0.4299)
Tl (0.3745, 0.6156, 0.9446)
Tl (0.3844, 0.0554, 0.6255)
Tl (0.3844, 0.8290, 0.7589)
Tl (0.4299, 0.3745, 0.2589)
Tl (0.4299, 0.5554, 0.1710)
Tl (0.4446, 0.1156, 0.8745)
Tl (0.4446, 0.8290, 0.5701)
Tl (0.5554, 0.1710, 0.4299)
Tl (0.5554, 0.8844, 0.1255)
Tl (0.5701, 0.4446, 0.8290)
Tl (0.5701, 0.6255, 0.7411)
Tl (0.6156, 0.1710, 0.2411)
Tl (0.6156, 0.9446, 0.3745)
Tl (0.6255, 0.3844, 0.0554)
Tl (0.6255, 0.7411, 0.5701)
Tl (0.6710, 0.0554, 0.9299)
Tl (0.6710, 0.1156, 0.7411)
Tl (0.7411, 0.5701, 0.6255)
Tl (0.7411, 0.6710, 0.1156)
Tl (0.7589, 0.3844, 0.8290)
Tl (0.7589, 0.8745, 0.9299)
Tl (0.8290, 0.5701, 0.4446)
Tl (0.8290, 0.7589, 0.3844)
Tl (0.8745, 0.4446, 0.1156)
Tl (0.8745, 0.9299, 0.7589)
Tl (0.8844, 0.1255, 0.5554)
Tl (0.8844, 0.2589, 0.3290)
Tl (0.9299, 0.6710, 0.0554)
Tl (0.9299, 0.7589, 0.8745)
Tl (0.9446, 0.0701, 0.3290)
Tl (0.9446, 0.3745, 0.6156)
Br (0.0000, 0.0000, 0.0000)
Br (0.0000, 0.0000, 0.5000)
Br (0.0000, 0.5000, 0.0000)
Br (0.0000, 0.5000, 0.5000)
Br (0.1250, 0.7500, 0.8750)
Br (0.1250, 0.8750, 0.2500)
Br (0.2500, 0.1250, 0.8750)
Br (0.2500, 0.6250, 0.3750)
Br (0.3750, 0.2500, 0.6250)
Br (0.3750, 0.6250, 0.7500)
Br (0.5000, 0.0000, 0.0000)
Br (0.5000, 0.0000, 0.5000)
Br (0.5000, 0.5000, 0.0000)
Br (0.5000, 0.5000, 0.5000)
Br (0.6250, 0.3750, 0.2500)
Br (0.6250, 0.7500, 0.3750)
Br (0.7500, 0.3750, 0.6250)
Br (0.7500, 0.8750, 0.1250)
Br (0.8750, 0.1250, 0.7500)
Br (0.8750, 0.2500, 0.1250)
Cl (0.1250, 0.2500, 0.3750)
Cl (0.1250, 0.3750, 0.7500)
Cl (0.2500, 0.3750, 0.1250)
Cl (0.2500, 0.8750, 0.6250)
Cl (0.3750, 0.1250, 0.2500)
Cl (0.3750, 0.7500, 0.1250)
Cl (0.6250, 0.2500, 0.8750)
Cl (0.6250, 0.8750, 0.7500)
Cl (0.7500, 0.1250, 0.3750)
Cl (0.7500, 0.6250, 0.8750)
Cl (0.8750, 0.6250, 0.2500)
Cl (0.8750, 0.7500, 0.6250)

Calculated values
formation energy (no corrections)	-501	meV/atom
DOS at the Fermi energy	0.48	states/eV/atom

---

Record 3
An optimized crystal structure of TlBrCl2, computed with PBE.

Cell: 3.4872 3.4872 9.9785 Å, 90.00 90.00 90.00°
Element x y z (fractional)
Tl (0.0000, 0.0000, 0.0000)
Br (0.0000, 0.0000, 0.5000)
Cl (0.5000, 0.5000, 0.1663)
Cl (0.5000, 0.5000, 0.8337)

Calculated values
formation energy (no corrections)	-181	meV/atom
E above lowest polymorph	415	meV per atom
DOS at the Fermi energy	0.82	states/eV/atom

---

no.,mass density (g/cm³),VASP energy (eV per atom),magnetic moment (μB per cell)
1,2.82,-2.21,0.000
2,5.85,-2.62,0.000
3,4.86,-2.11,0.374